PBE CrW3, optimized geometry; final energy = -48.3 eV per formula unit; calculated formation energy = 56 meV/atom; space-group type = No. 63; magnetic moment = 0.00 μB/cell
1.0
5.404 -0.009 0.000
1.804 5.094 0.000
0.000 0.000 4.403
W Cr
6 2
Cartesian
1.828 3.158 3.302
3.619 4.422 1.101
3.588 0.663 3.302
6.301 4.445 1.101
5.380 1.927 1.101
0.907 0.640 3.302
2.711 1.912 1.101
4.497 3.173 3.302